Below is an optimized crystal structure of CoAgTeO4, with properties calculated at the GGA+U level.

For the total energy, the calculation gives -5.015 eV/atom. The density of states at the Fermi level comes out at 0.3759 states/eV/atom. The size of the total moment is 0.000 μB/atom.

Cell: 6.373 6.373 6.373 Å, 124.41 115.60 90.16°
Fractional coordinates of all 14 atoms:
Co1 0.500 0.000 0.000
Co2 0.500 0.500 0.500
Ag1 0.079 0.329 0.750
Ag2 0.921 0.671 0.250
Te1 0.000 0.000 0.000
Te2 0.500 0.000 0.500
O1 0.280 0.269 0.489
O2 0.280 0.791 0.011
O3 0.303 0.241 0.062
O4 0.321 0.759 0.562
O5 0.679 0.241 0.438
O6 0.697 0.759 0.938
O7 0.720 0.209 0.989
O8 0.720 0.731 0.511